No. 1
The following is a PBE calculation of a relaxed structure of Nb2SiP, from the Alexandria database.

Summary:
**ρ**: 6.53 Mg/m³
**Space-group type**: No. 225
**E_tot**: -8.115 eV/atom
**Raw formation energy**: -8.6 kcal/mol of atoms

Cell: 4.449 4.449 4.449 Å, 60.00 60.00 60.00°
Atoms (fractional coordinates):
Nb  0.250  0.250  0.250
Nb  0.750  0.750  0.750
Si  0.000  0.000  0.000
P  0.500  0.500  0.500


No. 2
The following is a PBE calculation of a relaxed structure of TbNd2Tl2Ag2, from the Alexandria database.

Summary:
**ρ**: 9.26 Mg/m³
**Space-group type**: No. 166
**Formation energy from the elements**: -193 meV/atom
**E_tot**: -3.708 eV/atom

Cell: 9.614 9.614 9.614 Å, 29.63 29.63 29.63°
Atoms (fractional coordinates):
Tb  0.000  0.000  0.000
Nd  0.124  0.124  0.124
Nd  0.876  0.876  0.876
Tl  0.263  0.263  0.263
Tl  0.737  0.737  0.737
Ag  0.390  0.390  0.390
Ag  0.610  0.610  0.610


No. 3
The following is a PBE calculation of a relaxed structure of La2DyY3Ho6, from the Alexandria database.

Summary:
**ρ**: 7.27 Mg/m³
**Space-group type**: No. 12
**Formation energy from the elements**: 24 meV/atom
**E_tot**: -5.085 eV/atom

Cell: 6.198 6.198 11.831 Å, 95.00 95.00 119.99°
Atoms (fractional coordinates):
La  0.166  0.834  0.000
La  0.834  0.166  0.000
Dy  0.500  0.500  0.000
Y  0.000  0.000  0.500
Y  0.334  0.666  0.500
Y  0.666  0.334  0.500
Ho  0.083  0.415  0.747
Ho  0.253  0.253  0.253
Ho  0.415  0.083  0.747
Ho  0.585  0.917  0.253
Ho  0.747  0.747  0.747
Ho  0.917  0.585  0.253


No. 4
The following is a PBE calculation of a relaxed structure of MnAg4Cl8, from the Alexandria database.

Summary:
**ρ**: 4.17 Mg/m³
**Space-group type**: No. 166
**E_tot**: -3.225 eV/atom
**Raw formation energy**: -11.7 kcal/mol of atoms

Cell: 7.580 7.580 7.580 Å, 59.79 59.79 59.79°
Atoms (fractional coordinates):
Mn  0.000  0.000  0.000
Ag  0.000  0.000  0.500
Ag  0.000  0.500  0.000
Ag  0.500  0.000  0.000
Ag  0.500  0.500  0.500
Cl  0.233  0.233  0.754
Cl  0.233  0.754  0.233
Cl  0.237  0.237  0.237
Cl  0.246  0.767  0.767
Cl  0.754  0.233  0.233
Cl  0.763  0.763  0.763
Cl  0.767  0.246  0.767
Cl  0.767  0.767  0.246


No. 5
The following is a PBE calculation of a relaxed structure of Ti2BiSb, from the Alexandria database.

Summary:
**ρ**: 7.73 Mg/m³
**Space-group type**: No. 160
**E_tot**: -6.140 eV/atom
**Raw formation energy**: -4.4 kcal/mol of atoms

Cell: 7.122 7.122 7.122 Å, 32.29 32.29 32.29°
Atoms (fractional coordinates):
Ti  0.000  0.000  0.000
Ti  0.182  0.182  0.182
Bi  0.423  0.423  0.423
Sb  0.593  0.593  0.593


No. 6
The following is a PBE calculation of a relaxed structure of BaSiIr, from the Alexandria database.

Summary:
**ρ**: 7.67 Mg/m³
**Space-group type**: No. 216
**E_tot**: -5.079 eV/atom
**Raw formation energy**: 7.5 kcal/mol of atoms

Cell: 4.785 4.785 4.785 Å, 60.00 60.00 60.00°
Atoms (fractional coordinates):
Ba  0.000  0.000  0.000
Si  0.500  0.500  0.500
Ir  0.750  0.750  0.750


No. 7
The following is a PBE calculation of a relaxed structure of KAcBr4, from the Alexandria database.

Summary:
**ρ**: 3.64 Mg/m³
**Space-group type**: No. 109
**E_tot**: -3.894 eV/atom
**Raw formation energy**: -44.1 kcal/mol of atoms

Cell: 8.856 8.856 8.856 Å, 108.12 108.12 112.22°
Atoms (fractional coordinates):
K  0.000  0.000  0.000
K  0.750  0.250  0.500
Ac  0.269  0.769  0.500
Ac  0.519  0.519  0.000
Br  0.227  0.528  0.699
Br  0.278  0.079  0.801
Br  0.278  0.477  0.199
Br  0.293  0.986  0.306
Br  0.680  0.986  0.694
Br  0.736  0.543  0.806
Br  0.736  0.930  0.194
Br  0.829  0.528  0.301